Entry 1:
Computed, not measured: crystalline Tm5Co2Au2 at its relaxed geometry at the PBE level of DFT.

Summary:
raw total energy: -5.3213 eV/atom
calculated volume: 22.025 A^3/atom
formation enthalpy at 0 K: -0.53 eV/atom
space-group type: Cmce (64)
Fermi-level density of states: 7.43 states/eV/f.u.

a = 7.1149 Å, b = 7.1968 Å, c = 8.5208 Å
α = 90.00°, β = 65.32°, γ = 90.00°
Last column: nearest neighbours and their distance in Å.
Fractional coordinates of all 18 atoms:
Tm 0.0000 0.0000 0.0000  4 Co 2.88-2.90
Tm 0.5000 0.5000 0.0000  4 Co 2.88-2.90
Tm 0.4505 0.1782 0.7438  3 Co 2.90-2.92, 3 Au 2.94-3.04
Tm 0.8057 0.8218 0.7438  3 Co 2.90-2.92, 3 Au 2.94-3.04
Tm 0.3057 0.6782 0.7438  3 Co 2.90-2.92, 3 Au 2.94-3.04
Tm 0.9505 0.3218 0.7438  3 Co 2.90-2.92, 3 Au 2.94-3.04
Tm 0.5495 0.8218 0.2562  3 Co 2.90-2.92, 3 Au 2.94-3.04
Tm 0.1943 0.1782 0.2562  3 Co 2.90-2.92, 3 Au 2.94-3.04
Tm 0.6943 0.3218 0.2562  3 Co 2.90-2.92, 3 Au 2.94-3.04
Tm 0.0495 0.6782 0.2562  3 Co 2.90-2.92, 3 Au 2.94-3.04
Co 0.1113 0.3876 0.0000  1 Co 2.26
Co 0.8887 0.6124 0.0000  1 Co 2.26
Co 0.3887 0.8876 0.0000  1 Co 2.26
Co 0.6113 0.1124 0.0000  1 Co 2.26
Au 0.2135 0.0000 0.5729  6 Tm 2.94-3.04
Au 0.7135 0.5000 0.5729  6 Tm 2.94-3.04
Au 0.7865 0.0000 0.4271  6 Tm 2.94-3.04
Au 0.2865 0.5000 0.4271  6 Tm 2.94-3.04

---

Entry 2:
Computed, not measured: crystalline Th4PdPtSe2 at its relaxed geometry at the PBE level of DFT.

Summary:
raw total energy: -7.2011 eV/atom
calculated volume: 27.145 A^3/atom
space-group type: P2/m (10)
Fermi-level density of states: 5.01 states/eV/f.u.
ΔE_f (raw): -28.04 kcal/mol of atoms

a = 4.1886 Å, b = 7.6171 Å, c = 7.1712 Å
α = 71.65°, β = 90.00°, γ = 90.00°
Last column: nearest neighbours and their distance in Å.
Fractional coordinates of all 8 atoms:
Th 0.0000 0.7329 0.7564  1 Pd 2.93, 2 Pt 2.94, 3 Se 3.07-3.09
Th 0.0000 0.2671 0.2436  1 Pd 2.93, 2 Pt 2.94, 3 Se 3.07-3.09
Th 0.5000 0.7366 0.2513  1 Pt 2.92, 2 Pd 2.96, 3 Se 3.06-3.08
Th 0.5000 0.2634 0.7487  1 Pt 2.92, 2 Pd 2.96, 3 Se 3.06-3.08
Pd 0.0000 0.5000 0.5000  6 Th 2.93-2.96
Pt 0.5000 0.5000 0.0000  6 Th 2.92-2.94
Se 0.0000 0.0000 0.0000  6 Th 3.06-3.07
Se 0.5000 0.0000 0.5000  6 Th 3.08-3.09

---

Entry 3:
Computed, not measured: crystalline HgIr2Au at its relaxed geometry at the PBE level of DFT.

Summary:
raw total energy: -4.6879 eV/atom
calculated volume: 17.011 A^3/atom
formation enthalpy at 0 K: 0.64 eV/atom
space-group type: F-43m (216)
Fermi-level density of states: 6.08 states/eV/f.u.

a = 4.5825 Å, b = 4.5825 Å, c = 4.5825 Å
α = 60.00°, β = 60.00°, γ = 60.00°
Last column: nearest neighbours and their distance in Å.
Fractional coordinates of all 4 atoms:
Au 0.5000 0.5000 0.5000  4 Ir 2.81, 4 Hg 2.81
Hg 0.7500 0.7500 0.7500  4 Ir 2.81, 4 Au 2.81
Ir 0.0000 0.0000 0.0000  4 Hg 2.81, 4 Ir 2.81
Ir 0.2500 0.2500 0.2500  4 Ir 2.81, 4 Au 2.81

---

Entry 4:
Computed, not measured: crystalline Sm2Dy5Er2 at its relaxed geometry at the PBE level of DFT.

Summary:
offset from the most stable computed form: 0 meV/atom
raw total energy: -4.5066 eV/atom
calculated volume: 32.016 A^3/atom
formation enthalpy at 0 K: 0.11 eV/atom
space-group type: C2/m (12)
Fermi-level density of states: 17.88 states/eV/f.u.

a = 5.7602 Å, b = 8.6912 Å, c = 9.4095 Å
α = 40.61°, β = 72.18°, γ = 70.65°
Last column: nearest neighbours and their distance in Å.
Fractional coordinates of all 9 atoms:
Sm 0.4371 0.3372 0.7885  5 Dy 3.44-3.71, 2 Er 3.48, 2 Sm 3.69-3.78
Sm 0.5629 0.6628 0.2115  5 Dy 3.44-3.71, 2 Er 3.48, 2 Sm 3.69-3.78
Dy 0.3192 0.0009 0.3606  3 Er 3.41-3.44, 6 Dy 3.50-3.81, 2 Sm 3.63-3.71
Dy 0.6808 0.9991 0.6394  3 Er 3.41-3.44, 6 Dy 3.50-3.81, 2 Sm 3.63-3.71
Dy 0.2088 0.6544 0.9280  7 Dy 3.34-3.65, 2 Er 3.46-3.70, 1 Sm 3.62
Dy 0.7912 0.3456 0.0720  7 Dy 3.34-3.65, 2 Er 3.46-3.70, 1 Sm 3.62
Dy 0.0000 0.0000 0.0000  2 Er 3.28, 2 Dy 3.34, 4 Sm 3.44
Er 0.1025 0.3160 0.4790  5 Dy 3.28-3.46, 1 Er 3.30, 2 Sm 3.48
Er 0.8975 0.6840 0.5210  5 Dy 3.28-3.46, 1 Er 3.30, 2 Sm 3.48

---

Entry 5:
Computed, not measured: crystalline LaPm2Pr5Er at its relaxed geometry at the PBE level of DFT.

Summary:
raw total energy: -4.4964 eV/atom
calculated volume: 35.893 A^3/atom
formation enthalpy at 0 K: 0.27 eV/atom
space-group type: I4/mcm (140)
Fermi-level density of states: 14.65 states/eV/f.u.

a = 9.0722 Å, b = 9.0722 Å, c = 10.1377 Å
α = 116.58°, β = 116.58°, γ = 90.00°
Last column: nearest neighbours and their distance in Å.
Fractional coordinates of all 18 atoms:
La 0.2500 0.2500 0.5000  10 Pr 3.70-3.92
La 0.7500 0.7500 0.5000  10 Pr 3.70-3.92
Pm 0.1153 0.3847 0.0000  1 Pm 2.96, 2 Pr 3.13
Pm 0.6153 0.1153 0.0000  1 Pm 2.96, 2 Pr 3.13
Pm 0.3847 0.8847 0.0000  1 Pm 2.96, 2 Pr 3.13
Pm 0.8847 0.6153 0.0000  1 Pm 2.96, 2 Pr 3.13
Pr 0.9296 0.4296 0.2743  1 Pm 3.13, 1 Er 3.20
Pr 0.6553 0.1553 0.7257  1 Pm 3.13, 1 Er 3.20
Pr 0.0704 0.5704 0.7257  1 Pm 3.13, 1 Er 3.20
Pr 0.1553 0.0704 0.7257  1 Pm 3.13, 1 Er 3.20
Pr 0.5704 0.6553 0.7257  1 Pm 3.13, 1 Er 3.20
Pr 0.8447 0.9296 0.2743  1 Pm 3.13, 1 Er 3.20
Pr 0.4296 0.3447 0.2743  1 Pm 3.13, 1 Er 3.20
Pr 0.3447 0.8447 0.2743  1 Pm 3.13, 1 Er 3.20
Pr 0.5000 0.5000 0.0000  4 Pm 3.64, 8 Pr 3.90, 2 La 3.92
Pr 0.0000 0.0000 0.0000  4 Pm 3.64, 8 Pr 3.90, 2 La 3.92
Er 0.2500 0.7500 0.5000  4 Pr 3.20
Er 0.7500 0.2500 0.5000  4 Pr 3.20

---

Entry 6:
Computed, not measured: crystalline AlNi3Br at its relaxed geometry at the PBE level of DFT.

Summary:
offset from the most stable computed form: 0 meV/atom
raw total energy: -3.7547 eV/atom
calculated volume: 17.229 A^3/atom
space-group type: Pm-3m (221)
Fermi-level density of states: 1.58 states/eV/f.u.
ΔE_f (raw): 18.38 kcal/mol of atoms

a = 4.4165 Å, b = 4.4165 Å, c = 4.4165 Å
α = 90.00°, β = 90.00°, γ = 90.00°
Last column: nearest neighbours and their distance in Å.
Fractional coordinates of all 5 atoms:
Ni 0.0000 0.5000 0.0000  2 Al 2.21
Ni 0.0000 0.0000 0.5000  2 Al 2.21
Ni 0.5000 0.0000 0.0000  2 Al 2.21
Al 0.0000 0.0000 0.0000  6 Ni 2.21
Br 0.5000 0.5000 0.5000  12 Ni 3.12

---

Entry 7:
Computed, not measured: crystalline Li4MgZn2 at its relaxed geometry at the PBE level of DFT.

Summary:
offset from the most stable computed form: 0 meV/atom
raw total energy: -1.8078 eV/atom
calculated volume: 16.640 A^3/atom
formation enthalpy at 0 K: -0.12 eV/atom
space-group type: C2/m (12)
Fermi-level density of states: 2.86 states/eV/f.u.

a = 4.3998 Å, b = 4.5314 Å, c = 8.6321 Å
α = 56.40°, β = 90.00°, γ = 119.04°
Last column: nearest neighbours and their distance in Å.
Fractional coordinates of all 7 atoms:
Li 0.8687 0.7373 0.1984  4 Li 2.65-2.74, 3 Zn 2.72-2.74
Li 0.1313 0.2627 0.8016  4 Li 2.65-2.74, 3 Zn 2.72-2.74
Li 0.5449 0.0899 0.6815  1 Zn 2.60, 3 Li 2.70-2.74, 3 Mg 2.85-2.88
Li 0.4551 0.9101 0.3185  1 Zn 2.60, 3 Li 2.70-2.74, 3 Mg 2.85-2.88
Mg 0.0000 0.0000 0.5000  6 Li 2.85-2.88, 2 Zn 2.87
Zn 0.7144 0.4289 0.9290  4 Li 2.60-2.74, 3 Zn 2.74-2.79, 1 Mg 2.87
Zn 0.2856 0.5711 0.0710  4 Li 2.60-2.74, 3 Zn 2.74-2.79, 1 Mg 2.87

---

Entry 8:
Computed, not measured: crystalline MnVPd at its relaxed geometry at the PBE level of DFT.

Summary:
offset from the most stable computed form: 321 meV/atom
raw total energy: -7.5656 eV/atom
calculated volume: 14.074 A^3/atom
formation enthalpy at 0 K: 0.26 eV/atom
space-group type: Pmmn (59)
Fermi-level density of states: 3.74 states/eV/f.u.

a = 2.6716 Å, b = 2.6791 Å, c = 11.7976 Å
α = 90.00°, β = 90.00°, γ = 90.00°
Last column: nearest neighbours and their distance in Å.
Fractional coordinates of all 6 atoms:
V 0.5000 0.0000 0.7235  2 Mn 2.34, 2 Pd 2.54
V 0.0000 0.5000 0.2765  2 Mn 2.34, 2 Pd 2.54
Mn 0.0000 0.0000 0.4394  2 V 2.34, 4 Mn 2.37
Mn 0.5000 0.5000 0.5606  2 V 2.34, 4 Mn 2.37
Pd 0.5000 0.5000 0.0931  2 V 2.54, 4 Pd 2.67-2.68
Pd 0.0000 0.0000 0.9069  2 V 2.54, 4 Pd 2.67-2.68